(1)
Computed, not measured: SnSeN2O after structural relaxation at the PBEsol level of DFT.

abc: 4.0241 4.0241 3.8921
angles: 90.00 90.00 90.00
Last column: nearest neighbours and their distance in Å.
Positions (direct):
Sn: 0.0000 0.0000 0.0000  8 N 2.80, 4 Se 2.85
Se: 0.5000 0.5000 0.0000  2 O 1.95
N: 0.0000 0.5000 0.5000  2 O 2.01
N: 0.5000 0.0000 0.5000  2 O 2.01
O: 0.5000 0.5000 0.5000  2 Se 1.95, 4 N 2.01

Output
Fermi-level density of states ... 2.91 states/eV/f.u.
Magnetic moment ... 1.0 μB/f.u.
E_form (uncorrected) ... 1.61 eV/atom
Energy ... -22.35 eV/cell

(2)
Computed, not measured: Mn6Ni16As7 after structural relaxation at the PBEsol level of DFT.

abc: 7.9000 7.9000 7.9000
angles: 60.00 60.00 60.00
Last column: nearest neighbours and their distance in Å.
Positions (direct):
Mn: 0.1889 0.1889 0.8111  8 Ni 2.61-2.85, 4 As 2.88
Mn: 0.1889 0.8111 0.1889  8 Ni 2.61-2.85, 4 As 2.88
Mn: 0.1889 0.8111 0.8111  8 Ni 2.61-2.85, 4 As 2.88
Mn: 0.8111 0.1889 0.1889  8 Ni 2.61-2.85, 4 As 2.88
Mn: 0.8111 0.1889 0.8111  8 Ni 2.61-2.85, 4 As 2.88
Mn: 0.8111 0.8111 0.1889  8 Ni 2.61-2.85, 4 As 2.88
Ni: 0.1465 0.6178 0.6178  4 As 2.28-2.47, 3 Ni 2.54
Ni: 0.1641 0.1641 0.1641  3 As 2.28, 3 Ni 2.54
Ni: 0.1641 0.1641 0.5077  3 As 2.28, 3 Ni 2.54
Ni: 0.1641 0.5077 0.1641  3 As 2.28, 3 Ni 2.54
Ni: 0.3822 0.3822 0.3822  4 As 2.28-2.47, 3 Ni 2.54
Ni: 0.3822 0.3822 0.8535  4 As 2.28-2.47, 3 Ni 2.54
Ni: 0.3822 0.8535 0.3822  4 As 2.28-2.47, 3 Ni 2.54
Ni: 0.4923 0.8359 0.8359  3 As 2.28, 3 Ni 2.54
Ni: 0.5077 0.1641 0.1641  3 As 2.28, 3 Ni 2.54
Ni: 0.6178 0.1465 0.6178  4 As 2.28-2.47, 3 Ni 2.54
Ni: 0.6178 0.6178 0.1465  4 As 2.28-2.47, 3 Ni 2.54
Ni: 0.6178 0.6178 0.6178  4 As 2.28-2.47, 3 Ni 2.54
Ni: 0.8359 0.4923 0.8359  3 As 2.28, 3 Ni 2.54
Ni: 0.8359 0.8359 0.4923  3 As 2.28, 3 Ni 2.54
Ni: 0.8359 0.8359 0.8359  3 As 2.28, 3 Ni 2.54
Ni: 0.8535 0.3822 0.3822  4 As 2.28-2.47, 3 Ni 2.54
As: 0.0000 0.0000 0.5000  8 Ni 2.28-2.47
As: 0.0000 0.5000 0.0000  8 Ni 2.28-2.47
As: 0.0000 0.5000 0.5000  8 Ni 2.28-2.47
As: 0.5000 0.0000 0.0000  8 Ni 2.28-2.47
As: 0.5000 0.0000 0.5000  8 Ni 2.28-2.47
As: 0.5000 0.5000 0.0000  8 Ni 2.28-2.47
As: 0.5000 0.5000 0.5000  8 Ni 2.28

Output
Fermi-level density of states ... 15.11 states/eV/f.u.
Magnetic moment ... 24.3 μB/f.u.
Energy ... -198.87 eV/cell

(3)
Computed, not measured: Al2TlFePt after structural relaxation at the PBEsol level of DFT.

abc: 4.7005 4.7005 5.1912
angles: 90.00 90.00 90.00
Last column: nearest neighbours and their distance in Å.
Positions (direct):
Al: 0.0000 0.5000 0.0000  2 Pt 2.35
Al: 0.5000 0.0000 0.0000  2 Pt 2.35
Tl: 0.0000 0.0000 0.5000  2 Pt 2.60
Fe: 0.5000 0.5000 0.5000  4 Tl 3.32, 8 Al 3.50
Pt: 0.0000 0.0000 0.0000  4 Al 2.35, 2 Tl 2.60

Output
Fermi-level density of states ... 4.83 states/eV/f.u.
Magnetic moment ... 3.2 μB/f.u.
Energy ... -23.85 eV/cell